A plane-wave DFT calculation with PBE was carried out for a relaxed Ta2BiTe crystal.

Properties
- Formation energy without anion corrections: 9.6 kcal/mol of atoms
- Theoretical density: 13.88 Mg/m³
- Distance to the lowest polymorph of the same formula: 0.0000 eV/atom
- N(E_F): 6.15 states/eV/f.u.
- Total DFT energy (no corrections): -7.267 eV/atom
- Symmetry: No. 225

Geometry as POSCAR:
```
Ta2BiTe
1.0
0.000 3.470 3.470
3.470 0.000 3.470
3.470 3.470 0.000
Ta Bi Te
2 1 1
direct
0.250 0.250 0.250
0.750 0.750 0.750
0.000 0.000 0.000
0.500 0.500 0.500
```